[1]
Crystalline KScSi2 at its relaxed geometry. Source: Alexandria, functional PBE-GGA.

Summary:
Energy above the most stable polymorph in this dataset ... 1.358 eV/f.u.
Energy relative to the elements, uncorrected ... 90 meV/atom

Cell: 3.340 3.340 8.800 Å, 90.00 90.00 90.13°
Positions (direct):
K  0.000  0.000  0.000
Sc  0.500  0.500  0.591
Si  0.000  0.000  0.399
Si  0.500  0.500  0.286

***

[2]
Crystalline Ba2ZrMn at its relaxed geometry. Source: Alexandria, functional PBE-GGA.

Summary:
Energy above the most stable polymorph in this dataset ... 0.650 eV/f.u.
Calculated formation energy ... 0.552 eV/atom

Cell: 7.007 7.007 7.007 Å, 148.51 127.92 62.15°
Positions (direct):
Ba  0.000  0.000  0.000
Ba  0.698  0.198  0.500
Zr  0.393  0.393  0.000
Mn  0.244  0.744  0.500

***

[3]
Crystalline Ni2HgN at its relaxed geometry. Source: Alexandria, functional PBE-GGA.

Summary:
Energy above the most stable polymorph in this dataset ... 0.703 eV/f.u.
Energy relative to the elements, uncorrected ... 417 meV/atom

Cell: 7.419 7.419 7.419 Å, 23.35 23.35 23.35°
Positions (direct):
Ni  0.124  0.124  0.124
Ni  0.876  0.876  0.876
Hg  0.000  0.000  0.000
N  0.500  0.500  0.500

***

[4]
Crystalline Be2TlZn at its relaxed geometry. Source: Alexandria, functional PBE-GGA.

Summary:
Energy above the most stable polymorph in this dataset ... 1.417 eV/f.u.
Calculated formation energy ... 0.646 eV/atom

Cell: 3.973 3.973 3.796 Å, 90.00 90.00 90.00°
Positions (direct):
Be  0.000  0.500  0.000
Be  0.500  0.000  0.000
Tl  0.000  0.000  0.500
Zn  0.500  0.500  0.500

***

[5]
Crystalline KTl4AgPd2 at its relaxed geometry. Source: Alexandria, functional PBE-GGA.

Summary:
Calculated formation energy ... -0.069 eV/atom

Cell: 11.136 11.136 11.136 Å, 24.60 24.60 24.60°
Positions (direct):
K  0.000  0.000  0.000
Tl  0.130  0.130  0.130
Tl  0.402  0.402  0.402
Tl  0.598  0.598  0.598
Tl  0.870  0.870  0.870
Ag  0.500  0.500  0.500
Pd  0.224  0.224  0.224
Pd  0.776  0.776  0.776

***

[6]
Crystalline Mg2TeP at its relaxed geometry. Source: Alexandria, functional PBE-GGA.

Summary:
Energy above the most stable polymorph in this dataset ... 1.399 eV/f.u.
Energy relative to the elements, uncorrected ... -172 meV/atom

Cell: 6.307 6.307 6.307 Å, 143.41 143.41 52.70°
Positions (direct):
Mg  0.000  0.000  0.000
Mg  0.750  0.250  0.500
Te  0.500  0.500  0.000
P  0.250  0.750  0.500

***

| no. | Fermi-level density of states (states/eV per atom) |
| --- | --- |
| 1 | 0.623 |
| 2 | 1.007 |
| 3 | 0.892 |
| 4 | 0.275 |
| 5 | 0.433 |
| 6 | 0.610 |